Entry 1:
## CaFe2N3 (PBE-GGA)

Data for crystalline CaFe2N3 at its relaxed geometry.

## Properties
The value obtained for the calculated volume is 11.5 Å³ per atom. The calculation puts the calculated total energy at -7.541 eV/atom. For the density of states at the Fermi level, the calculation gives 5.42 states/eV/cell.

a b c (Å): 5.6840 5.6840 4.6689
angles (deg): 90.00 90.00 114.34
Fractional positions:
Ca  0.2264  0.7736  0.7500
Ca  0.7736  0.2264  0.2500
Fe  0.3054  0.3054  0.0000
Fe  0.3054  0.3054  0.5000
Fe  0.6946  0.6946  0.0000
Fe  0.6946  0.6946  0.5000
N  0.0220  0.1943  0.7500
N  0.1943  0.0220  0.2500
N  0.4052  0.5948  0.2500
N  0.5948  0.4052  0.7500
N  0.8057  0.9780  0.7500
N  0.9780  0.8057  0.2500

=====

Entry 2:
## Be2GaI8 (PBE-GGA)

Data for crystalline Be2GaI8 at its relaxed geometry.

## Properties
The value obtained for the calculated volume is 44.1 Å³ per atom. The calculation puts the calculated total energy at -2.442 eV/atom. For the density of states at the Fermi level, the calculation gives 4.82 states/eV/cell.

a b c (Å): 8.6200 8.6200 6.7431
angles (deg): 97.56 97.56 98.34
Fractional positions:
Be  0.2133  0.2133  0.1790
Be  0.7867  0.7867  0.8210
Ga  0.0000  0.0000  0.5000
I  0.0294  0.7363  0.7026
I  0.2142  0.2142  0.8184
I  0.2637  0.9706  0.2974
I  0.4331  0.4331  0.2596
I  0.5669  0.5669  0.7404
I  0.7363  0.0294  0.7026
I  0.7858  0.7858  0.1816
I  0.9706  0.2637  0.2974

=====

Entry 3:
## CaNd2In2 (PBE-GGA)

Data for crystalline CaNd2In2 at its relaxed geometry.

## Properties
The formation energy comes out at -395 meV/atom. The value obtained for the calculated volume is 31.8 Å³ per atom. As for the energy above the most stable polymorph in this dataset: 0 meV per atom. The calculation puts the calculated total energy at -3.798 eV/atom. For the density of states at the Fermi level, the calculation gives 14.63 states/eV/cell.

a b c (Å): 8.6868 8.6868 4.2172
angles (deg): 90.00 90.00 90.00
Fractional positions:
Ca  0.0000  0.0000  0.0000
Ca  0.5000  0.5000  0.0000
Nd  0.1732  0.3268  0.5000
Nd  0.3268  0.8268  0.5000
Nd  0.6732  0.1732  0.5000
Nd  0.8268  0.6732  0.5000
In  0.1251  0.6251  0.0000
In  0.3749  0.1251  0.0000
In  0.6251  0.8749  0.0000
In  0.8749  0.3749  0.0000

=====

Entry 4:
## Ru4Pt4Rh (PBE-GGA)

Data for crystalline Ru4Pt4Rh at its relaxed geometry.

## Properties
The formation energy comes out at -31 meV/atom. The value obtained for the calculated volume is 14.7 Å³ per atom. The calculation puts the calculated total energy at -7.656 eV/atom. For the density of states at the Fermi level, the calculation gives 8.51 states/eV/cell.

a b c (Å): 6.1575 6.1575 6.1575
angles (deg): 95.66 95.66 143.40
Fractional positions:
Ru  0.0000  0.3442  0.3442
Ru  0.0000  0.6558  0.6558
Ru  0.3442  0.0000  0.3442
Ru  0.6558  0.0000  0.6558
Pt  0.3318  0.3318  0.6637
Pt  0.3318  0.6682  0.0000
Pt  0.6682  0.3318  0.0000
Pt  0.6682  0.6682  0.3363
Rh  0.0000  0.0000  0.0000

=====

Entry 5:
## La2SmYSe4 (PBE-GGA)

Data for crystalline La2SmYSe4 at its relaxed geometry.

## Properties
The value obtained for the calculated volume is 26.6 Å³ per atom. The calculation puts the calculated total energy at -6.271 eV/atom. For the density of states at the Fermi level, the calculation gives 5.28 states/eV/cell.

a b c (Å): 7.2982 4.1765 7.3784
angles (deg): 90.00 108.97 90.00
Fractional positions:
La  0.0000  0.0000  0.0000
La  0.5000  0.5000  0.0000
Sm  0.0000  0.5000  0.5000
Y  0.5000  0.0000  0.5000
Se  0.2494  0.0000  0.7372
Se  0.2590  0.5000  0.2655
Se  0.7410  0.5000  0.7345
Se  0.7506  0.0000  0.2628

=====

Entry 6:
## Mo2WCSe (PBE-GGA)

Data for crystalline Mo2WCSe at its relaxed geometry.

## Properties
The value obtained for the calculated volume is 19.3 Å³ per atom. The calculation puts the calculated total energy at -6.823 eV/atom. For the density of states at the Fermi level, the calculation gives 5.31 states/eV/cell.

a b c (Å): 4.5836 4.5836 4.5953
angles (deg): 90.00 90.00 90.00
Fractional positions:
Mo  0.0000  0.5000  0.0000
Mo  0.5000  0.0000  0.0000
W  0.0000  0.0000  0.5000
C  0.5000  0.5000  0.5000
Se  0.0000  0.0000  0.0000

=====

Entry 7:
## Nd8Cd2Tc (PBE-GGA)

Data for crystalline Nd8Cd2Tc at its relaxed geometry.

## Properties
The formation energy comes out at -66 meV/atom. The value obtained for the calculated volume is 30.7 Å³ per atom. The calculation puts the calculated total energy at -4.642 eV/atom. For the density of states at the Fermi level, the calculation gives 11.27 states/eV/cell.

a b c (Å): 9.3542 9.3542 7.1689
angles (deg): 108.67 108.67 34.84
Fractional positions:
Nd  0.0185  0.0185  0.2835
Nd  0.1964  0.1964  0.7684
Nd  0.3500  0.3500  0.5620
Nd  0.4048  0.4048  0.0867
Nd  0.5952  0.5952  0.9133
Nd  0.6500  0.6500  0.4380
Nd  0.8036  0.8036  0.2316
Nd  0.9815  0.9815  0.7165
Cd  0.1845  0.1845  0.1969
Cd  0.8155  0.8155  0.8031
Tc  0.5000  0.5000  0.5000

=====

Entry 8:
## ErAl3 (PBE-GGA)

Data for crystalline ErAl3 at its relaxed geometry.

## Properties
The formation energy comes out at -421 meV/atom. The value obtained for the calculated volume is 19.1 Å³ per atom. The calculation puts the calculated total energy at -4.369 eV/atom. For the density of states at the Fermi level, the calculation gives 3.73 states/eV/cell.

a b c (Å): 7.8934 7.8934 7.8934
angles (deg): 45.69 45.69 45.69
Fractional positions:
Er  0.0000  0.0000  0.0000
Er  0.2190  0.2190  0.2190
Er  0.7810  0.7810  0.7810
Al  0.0000  0.5000  0.5000
Al  0.2580  0.7054  0.7054
Al  0.2946  0.2946  0.7420
Al  0.2946  0.7420  0.2946
Al  0.5000  0.0000  0.5000
Al  0.5000  0.5000  0.0000
Al  0.7054  0.2580  0.7054
Al  0.7054  0.7054  0.2580
Al  0.7420  0.2946  0.2946

=====

Entry 9:
## SrSF2 (PBE-GGA)

Data for crystalline SrSF2 at its relaxed geometry.

## Properties
The value obtained for the calculated volume is 16.7 Å³ per atom. As for the energy above the most stable polymorph in this dataset: 240 meV per atom. The calculation puts the calculated total energy at -4.327 eV/atom. For the density of states at the Fermi level, the calculation gives 8.10 states/eV/cell.

a b c (Å): 6.4460 6.4460 6.4460
angles (deg): 90.00 90.00 90.00
Fractional positions:
Sr  0.0000  0.0000  0.0000
Sr  0.0000  0.5000  0.5000
Sr  0.5000  0.0000  0.5000
Sr  0.5000  0.5000  0.0000
S  0.0000  0.0000  0.5000
S  0.0000  0.5000  0.0000
S  0.5000  0.0000  0.0000
S  0.5000  0.5000  0.5000
F  0.2500  0.2500  0.2500
F  0.2500  0.2500  0.7500
F  0.2500  0.7500  0.2500
F  0.2500  0.7500  0.7500
F  0.7500  0.2500  0.2500
F  0.7500  0.2500  0.7500
F  0.7500  0.7500  0.2500
F  0.7500  0.7500  0.7500

=====

Entry 10:
## LiPr4Ga (PBE-GGA)

Data for crystalline LiPr4Ga at its relaxed geometry.

## Properties
The formation energy comes out at -101 meV/atom. The value obtained for the calculated volume is 30.6 Å³ per atom. The calculation puts the calculated total energy at -4.111 eV/atom. For the density of states at the Fermi level, the calculation gives 10.43 states/eV/cell.

a b c (Å): 17.0668 17.0668 5.9269
angles (deg): 90.00 90.00 167.72
Fractional positions:
Li  0.0003  0.9997  0.0000
Li  0.9997  0.0003  0.5000
Pr  0.0933  0.9067  0.7231
Pr  0.1667  0.8333  0.1156
Pr  0.2365  0.7635  0.6956
Pr  0.4227  0.5773  0.7548
Pr  0.5773  0.4227  0.2548
Pr  0.7635  0.2365  0.1956
Pr  0.8333  0.1667  0.6156
Pr  0.9067  0.0933  0.2231
Ga  0.3367  0.6633  0.0665
Ga  0.6633  0.3367  0.5665

=====

Entry 11:
## YCu6Ni6 (PBE-GGA)

Data for crystalline YCu6Ni6 at its relaxed geometry.

## Properties
The formation energy comes out at -121 meV/atom. The value obtained for the calculated volume is 12.7 Å³ per atom. The calculation puts the calculated total energy at -5.177 eV/atom. For the density of states at the Fermi level, the calculation gives 10.22 states/eV/cell.

a b c (Å): 6.3439 6.3439 6.3439
angles (deg): 135.82 98.21 98.04
Fractional positions:
Y  0.0000  0.0000  0.0000
Cu  0.2184  0.5000  0.7184
Cu  0.3508  0.3508  0.0000
Cu  0.3540  0.0000  0.3540
Cu  0.6460  0.0000  0.6460
Cu  0.6492  0.6492  0.0000
Cu  0.7816  0.5000  0.2816
Ni  0.0000  0.0000  0.5000
Ni  0.0000  0.5000  0.0000
Ni  0.2237  0.7237  0.5000
Ni  0.5000  0.0000  0.0000
Ni  0.5000  0.5000  0.5000
Ni  0.7763  0.2763  0.5000

=====

Entry 12:
## Li2ZnAs (PBE-GGA)

Data for crystalline Li2ZnAs at its relaxed geometry.

## Properties
The formation energy comes out at -76 meV/atom. The value obtained for the calculated volume is 18.0 Å³ per atom. As for the energy above the most stable polymorph in this dataset: 323 meV per atom. The calculation puts the calculated total energy at -2.514 eV/atom. For the density of states at the Fermi level, the calculation gives 2.40 states/eV/cell.

a b c (Å): 3.0620 3.0620 26.6155
angles (deg): 90.00 90.00 120.00
Fractional positions:
Li  0.0000  0.0000  0.0000
Li  0.0000  0.0000  0.2345
Li  0.3333  0.6667  0.6667
Li  0.3333  0.6667  0.9011
Li  0.6667  0.3333  0.3333
Li  0.6667  0.3333  0.5678
Zn  0.0000  0.0000  0.4884
Zn  0.3333  0.6667  0.1550
Zn  0.6667  0.3333  0.8217
As  0.0000  0.0000  0.7412
As  0.3333  0.6667  0.4079
As  0.6667  0.3333  0.0746

=====

Please write out number 8 again, unchanged.
## ErAl3 (PBE-GGA)

Data for crystalline ErAl3 at its relaxed geometry.

## Properties
The formation energy comes out at -421 meV/atom. The value obtained for the calculated volume is 19.1 Å³ per atom. The calculation puts the calculated total energy at -4.369 eV/atom. For the density of states at the Fermi level, the calculation gives 3.73 states/eV/cell.

a b c (Å): 7.8934 7.8934 7.8934
angles (deg): 45.69 45.69 45.69
Fractional positions:
Er  0.0000  0.0000  0.0000
Er  0.2190  0.2190  0.2190
Er  0.7810  0.7810  0.7810
Al  0.0000  0.5000  0.5000
Al  0.2580  0.7054  0.7054
Al  0.2946  0.2946  0.7420
Al  0.2946  0.7420  0.2946
Al  0.5000  0.0000  0.5000
Al  0.5000  0.5000  0.0000
Al  0.7054  0.2580  0.7054
Al  0.7054  0.7054  0.2580
Al  0.7420  0.2946  0.2946